(1)
Entry from OQMD via LeMat-Bulk: a geometry-optimized LiLaSi2Ir structure (PBE).

```
5
Lattice="-2.106 2.106 5.021 2.106 -2.106 5.021 2.106 2.106 -5.021" Properties=species:S:1:pos:R:3 pbc="T T T"
Li 0.000 0.000 0.000
La 0.000 2.106 2.511
Si 2.106 0.000 1.258
Si 2.106 0.000 3.763
Ir 0.000 0.000 5.021
```

Values from the calculation:
Crystal system: tetragonal
Calculated total energy: -6.063 eV per atom
Volume: 89.1 Å³/f.u.

***

(2)
Entry from OQMD via LeMat-Bulk: a geometry-optimized LiLaTaIr structure (PBE).

```
4
Lattice="0.000 3.311 3.311 3.311 0.000 3.311 3.311 3.311 0.000" Properties=species:S:1:pos:R:3 pbc="T T T"
Li 0.000 0.000 0.000
La 1.656 1.656 1.656
Ta 3.311 3.311 3.311
Ir 4.967 4.967 4.967
```

Values from the calculation:
Crystal system: cubic
Calculated total energy: -6.880 eV per atom
Volume: 72.6 Å³/f.u.

***

(3)
Entry from OQMD via LeMat-Bulk: a geometry-optimized LiLaTaIr structure (PBE).

```
4
Lattice="0.000 3.318 3.318 3.318 0.000 3.318 3.318 3.318 0.000" Properties=species:S:1:pos:R:3 pbc="T T T"
Li 0.000 0.000 0.000
La 3.318 3.318 3.318
Ta 4.977 4.977 4.977
Ir 1.659 1.659 1.659
```

Values from the calculation:
Crystal system: cubic
Calculated total energy: -6.464 eV per atom
Volume: 73.0 Å³/f.u.

***

(4)
Entry from OQMD via LeMat-Bulk: a geometry-optimized LiLaTaIr structure (PBE).

```
4
Lattice="0.000 3.399 3.399 3.399 0.000 3.399 3.399 3.399 0.000" Properties=species:S:1:pos:R:3 pbc="T T T"
Li 0.000 0.000 0.000
La 1.700 1.700 1.700
Ta 5.099 5.099 5.099
Ir 3.399 3.399 3.399
```

Values from the calculation:
Crystal system: cubic
Calculated total energy: -6.786 eV per atom
Volume: 78.6 Å³/f.u.

***

(5)
Entry from OQMD via LeMat-Bulk: a geometry-optimized LaLuIr structure (PBE).

```
3
Lattice="0.000 3.350 3.350 3.350 0.000 3.350 3.350 3.350 0.000" Properties=species:S:1:pos:R:3 pbc="T T T"
La 0.000 0.000 0.000
Lu 5.025 5.025 5.025
Ir 3.350 3.350 3.350
```

Values from the calculation:
Crystal system: cubic
Calculated total energy: -6.049 eV per atom
Volume: 75.2 Å³/f.u.
E_form: 0.05 eV/atom

***

(6)
Entry from OQMD via LeMat-Bulk: a geometry-optimized La2NdMg3Ir2Pd structure (PBE).

```
9
Lattice="4.133 0.000 0.000 0.000 6.573 3.763 0.000 -6.573 3.763" Properties=species:S:1:pos:R:3 pbc="T T T"
La 0.000 -3.811 3.763
La 0.000 3.811 3.763
Nd 0.000 0.000 4.729
Mg 2.067 -1.572 2.508
Mg 2.067 1.572 2.508
Mg 2.067 0.000 7.273
Ir 2.067 -2.199 5.370
Ir 2.067 2.199 5.370
Pd 0.000 0.000 1.608
```

Values from the calculation:
Crystal system: orthorhombic
Calculated total energy: -5.334 eV per atom
Volume: 204.5 Å³/f.u.

***

Question: calculated total energy of number 2 (LiLaTaIr)?
Answer: -6.880 eV per atom

***

Question: The lowest calculated total energy belongs to which entry?
Answer: number 2

***

Question: Look up the volume of the fifth one.
Answer: 75.2 Å³/f.u.